(1)
{"formula": "AlOs2Se", "functional": "PBE", "state": "relaxed", "cell": [[-0.900, 3.082, -3.522], [-3.379, -1.901, -2.772], [0.161, 0.631, 4.722]], "species": ["Os", "Os", "Al", "Se"], "frac_coords": [[0.000, 0.000, 0.000], [0.250, 0.750, 0.500], [0.750, 0.250, 0.500], [0.500, 0.500, 0.000]], "dft_energy_ev_per_cell": -27.6, "total_magnetization_mub_per_fu": 0.00, "de_polymorph_ev_per_fu": 1.36}

=====

(2)
{"formula": "AlOsSe2", "functional": "PBE", "state": "relaxed", "cell": [[3.206, 0.000, 0.000], [0.000, 3.325, -0.015], [0.000, 1.732, 7.759]], "species": ["Os", "Al", "Se", "Se"], "frac_coords": [[0.500, 0.967, 0.689], [0.000, 0.550, 0.527], [0.000, 0.847, 0.925], [0.500, 0.136, 0.359]], "dft_energy_ev_per_cell": -22.5, "total_magnetization_mub_per_fu": 0.00}

=====

(3)
{"formula": "AlOsSe", "functional": "PBE", "state": "relaxed", "cell": [[-0.200, 5.134, 3.034], [1.084, 1.982, 5.523], [1.559, -3.165, -4.813]], "species": ["Os", "Al", "Se"], "frac_coords": [[0.336, 0.336, 0.000], [0.975, 0.975, 0.000], [0.689, 0.689, 0.000]], "dft_energy_ev_per_cell": -17.8, "total_magnetization_mub_per_fu": 0.00, "de_polymorph_ev_per_fu": 0.46}

=====

> Which formula does entry 3 have?

AlOsSe